Entry 1:
DFT (PBE-GGA) results for a relaxed structure of LaPPb2I.

Cell and atoms, written as extended XYZ:
```
5
Lattice="6.4639 0.0000 0.0000 0.0000 6.4639 0.0000 0.0000 0.0000 5.2996" Properties=species:S:1:pos:R:3 pbc="T T T"
La 0.0000 0.0000 0.0000
P 0.0000 0.0000 2.6498
Pb 0.0000 3.2319 0.0000
Pb 3.2319 0.0000 0.0000
I 3.2319 3.2319 2.6498
```

Computed properties:
Formation energy without anion corrections = 0.389 eV per atom
Space group = P4/mmm (123)
DOS(E_F) = 6.60 states/eV/f.u.
Final energy = -3.472 eV/atom

Entry 2:
DFT (PBE-GGA) results for a relaxed structure of Ac6Ni2Sn3.

Cell and atoms, written as extended XYZ:
```
11
Lattice="-2.7164 2.7164 13.7122 2.7164 -2.7164 13.7122 2.7164 2.7164 -13.7122" Properties=species:S:1:pos:R:3 pbc="T T T"
Ac 2.7164 0.0000 2.2260
Ac 0.0000 0.0000 5.6279
Ac 2.7164 0.0000 11.4861
Ac 0.0000 2.7164 2.2260
Ac 0.0000 0.0000 21.7965
Ac 0.0000 2.7164 11.4861
Ni 0.0000 0.0000 2.8186
Ni 0.0000 0.0000 24.6058
Sn 0.0000 0.0000 9.0139
Sn 0.0000 0.0000 13.7122
Sn 0.0000 0.0000 18.4105
```

Computed properties:
Space group = I4/mmm (139)
DOS(E_F) = 9.74 states/eV/f.u.
Final energy = -4.717 eV/atom

Entry 3:
DFT (PBE-GGA) results for a relaxed structure of V3AsRh.

Cell and atoms, written as extended XYZ:
```
5
Lattice="4.4155 0.0000 0.0000 0.0000 4.4155 0.0000 0.0000 0.0000 4.4155" Properties=species:S:1:pos:R:3 pbc="T T T"
V 0.0000 0.0000 2.2077
V 0.0000 2.2077 0.0000
V 2.2077 0.0000 0.0000
As 0.0000 0.0000 0.0000
Rh 2.2077 2.2077 2.2077
```

Computed properties:
Polymorph energy (0 for the lowest one) = 0.00 kJ/mol of atoms
Space group = Pm-3m (221)
DOS(E_F) = 6.17 states/eV/f.u.
Final energy = -7.103 eV/atom

Entry 4:
DFT (PBE-GGA) results for a relaxed structure of SiP2SI.

Cell and atoms, written as extended XYZ:
```
5
Lattice="4.7775 0.0000 0.0000 0.0000 4.7775 0.0000 0.0000 0.0000 4.3981" Properties=species:S:1:pos:R:3 pbc="T T T"
Si 0.0000 0.0000 0.0000
P 0.0000 2.3887 0.0000
P 2.3887 0.0000 0.0000
S 0.0000 0.0000 2.1991
I 2.3887 2.3887 2.1991
```

Computed properties:
Polymorph energy (0 for the lowest one) = 0.00 kJ/mol of atoms
Formation energy without anion corrections = 0.661 eV per atom
Space group = P4/mmm (123)
DOS(E_F) = 3.59 states/eV/f.u.
Final energy = -3.724 eV/atom